Record 1
# Ba2Gd2Sb3 | OQMD | PBE | relaxed
# **E**: -4.561 eV/atom
# **Total moment**: 0.00 μB/atom
data_Ba2Gd2Sb3
_symmetry_space_group_name_H-M 'C 1 2/m 1'
_symmetry_Int_Tables_number 12
_cell_length_a 18.669
_cell_length_b 4.967
_cell_length_c 14.577
_cell_angle_alpha 90.00
_cell_angle_beta 125.14
_cell_angle_gamma 90.00
loop_
_symmetry_equiv_pos_as_xyz
'x,y,z'
'-x,-y,-z'
'-x,y,-z'
'x,-y,z'
'x+1/2,y+1/2,z'
'-x+1/2,-y+1/2,-z'
'-x+1/2,y+1/2,-z'
'x+1/2,-y+1/2,z'
loop_
_atom_site_label
_atom_site_fract_x
_atom_site_fract_y
_atom_site_fract_z
_atom_site_occupancy
Ba1 0.102 0.000 0.470 1
Ba2 0.230 0.000 0.834 1
Gd1 0.044 0.500 0.819 1
Gd2 0.096 0.000 0.166 1
Sb1 0.088 0.500 0.652 1
Sb2 0.116 0.000 0.971 1
Sb3 0.158 0.500 0.318 1

***

Record 2
# TbZrSi | OQMD | PBE | relaxed
# **E**: -6.553 eV/atom
# **Total moment**: 0.00 μB/atom
data_TbZrSi
_symmetry_space_group_name_H-M 'F -4 3 m'
_symmetry_Int_Tables_number 216
_symmetry_space_group_name_Hall 'F -4 2 3'
_cell_length_a 6.615
_cell_length_b 6.615
_cell_length_c 6.615
_cell_angle_alpha 90.00
_cell_angle_beta 90.00
_cell_angle_gamma 90.00
loop_
_atom_site_label
_atom_site_fract_x
_atom_site_fract_y
_atom_site_fract_z
_atom_site_occupancy
Tb1 0.000 0.000 0.000 1
Zr1 0.000 0.000 0.500 1
Si1 0.250 0.250 0.250 1

***

Record 3
# Hf4Ta2Si3N3 | OQMD | PBE | relaxed
# **E**: -9.699 eV/atom
# **Total moment**: 0.00 μB/atom
data_Hf4Ta2Si3N3
_symmetry_space_group_name_H-M 'C 1 2/c 1'
_symmetry_Int_Tables_number 15
_cell_length_a 9.546
_cell_length_b 5.517
_cell_length_c 13.443
_cell_angle_alpha 90.00
_cell_angle_beta 103.77
_cell_angle_gamma 90.00
loop_
_symmetry_equiv_pos_as_xyz
'x,y,z'
'-x,-y,-z'
'-x,y,-z+1/2'
'x,-y,z+1/2'
'x+1/2,y+1/2,z'
'-x+1/2,-y+1/2,-z'
'-x+1/2,y+1/2,-z+1/2'
'x+1/2,-y+1/2,z+1/2'
loop_
_atom_site_label
_atom_site_fract_x
_atom_site_fract_y
_atom_site_fract_z
_atom_site_occupancy
Hf1 0.117 0.084 0.101 1
Hf2 0.217 0.083 0.399 1
Ta1 0.053 0.418 0.913 1
Si1 0.000 0.127 0.750 1
Si2 0.144 0.440 0.251 1
N1 0.087 0.237 0.500 1
N2 0.250 0.250 0.000 1